# 1
# Al2CoTe | Alexandria | PBE-GGA | optimized geometry
data_Al2CoTe
_cell_length_a 3.030
_cell_length_b 3.030
_cell_length_c 7.685
_cell_angle_alpha 90.00
_cell_angle_beta 90.00
_cell_angle_gamma 90.00
_symmetry_space_group_name_H-M 'P 1'
_symmetry_Int_Tables_number 1
_symmetry_space_group_name_Hall 'P 1'
loop_
_atom_site_label
_atom_site_type_symbol
_atom_site_fract_x
_atom_site_fract_y
_atom_site_fract_z
Al1 Al 0.000 0.000 0.000
Al2 Al 0.500 0.500 0.240
Co1 Co 0.000 0.000 0.418
Te1 Te 0.500 0.500 0.633
# Space group = No. 99
# E_tot = -4.344 eV/atom

# 2
# TeSI2F | Alexandria | PBE-GGA | optimized geometry
data_TeSI2F
_cell_length_a 6.003
_cell_length_b 6.003
_cell_length_c 4.219
_cell_angle_alpha 90.00
_cell_angle_beta 90.00
_cell_angle_gamma 90.00
_symmetry_space_group_name_H-M 'P 1'
_symmetry_Int_Tables_number 1
_symmetry_space_group_name_Hall 'P 1'
loop_
_atom_site_label
_atom_site_type_symbol
_atom_site_fract_x
_atom_site_fract_y
_atom_site_fract_z
Te1 Te 0.000 0.000 0.000
S1 S 0.500 0.500 0.000
I1 I 0.000 0.500 0.500
I2 I 0.500 0.000 0.500
F1 F 0.000 0.000 0.500
# Space group = No. 123
# Relative energy among the computed polymorphs = 0.28 eV per formula unit
# E_tot = -2.049 eV/atom

Quick rundown of size of the total moment, same order as above: 0.0 2.4 μB per formula unit
Quick rundown of N(E_F), same order as above: 0.6885 1.0628 states/eV per atom
Quick rundown of formation energy (no corrections), same order as above: 89 399 meV per atom